1.
A relaxed structure of LiCu6Rh. Source: Alexandria, functional PBE-GGA.

a = 5.1900 Å, b = 5.1900 Å, c = 4.2541 Å
α = 90.00°, β = 90.00°, γ = 120.00°
Last column: nearest neighbours and their distance in Å.
Element x y z (fractional)
Li 0.0000 0.0000 0.0000  12 Cu 2.60-2.61
Cu 0.3380 0.1690 0.5000  8 Cu 2.56-2.63, 2 Rh 2.60, 2 Li 2.61
Cu 0.5008 0.0016 0.0000  8 Cu 2.58-2.61, 2 Li 2.60, 2 Rh 2.61
Cu 0.5008 0.4992 0.0000  8 Cu 2.58-2.61, 2 Li 2.60, 2 Rh 2.61
Cu 0.8310 0.1690 0.5000  8 Cu 2.56-2.63, 2 Rh 2.60, 2 Li 2.61
Cu 0.8310 0.6620 0.5000  8 Cu 2.56-2.63, 2 Rh 2.60, 2 Li 2.61
Cu 0.9984 0.4992 0.0000  8 Cu 2.58-2.61, 2 Li 2.60, 2 Rh 2.61
Rh 0.3333 0.6667 0.5000  12 Cu 2.60-2.61

## Properties
- Total energy: -4.28 eV/atom
- DOS(E_F): 2.21 states/eV/cell
- DFT formation energy: -0.0532 eV/atom
- Spin magnetization: 0.0000 μB/atom

=====

2.
A relaxed structure of LiCu2Rh. Source: Alexandria, functional PBE-GGA.

a = 4.5845 Å, b = 2.6455 Å, c = 8.8538 Å
α = 90.00°, β = 99.78°, γ = 90.00°
Last column: nearest neighbours and their distance in Å.
Element x y z (fractional)
Li 0.0000 0.0000 0.0000  6 Li 2.65, 6 Cu 2.66
Li 0.5000 0.5000 0.0000  6 Li 2.65, 6 Cu 2.66
Cu 0.0833 0.5000 0.7505  6 Cu 2.65, 3 Li 2.66, 3 Rh 2.66-2.67
Cu 0.4160 0.0000 0.2494  6 Cu 2.65, 3 Li 2.66, 3 Rh 2.66-2.67
Cu 0.5833 0.0000 0.7505  6 Cu 2.65, 3 Li 2.66, 3 Rh 2.66-2.67
Cu 0.9160 0.5000 0.2494  6 Cu 2.65, 3 Li 2.66, 3 Rh 2.66-2.67
Rh 0.1664 0.0000 0.5000  6 Rh 2.65, 6 Cu 2.66-2.67
Rh 0.6664 0.5000 0.5000  6 Rh 2.65, 6 Cu 2.66-2.67

## Properties
- Total energy: -4.33 eV/atom
- DOS(E_F): 7.27 states/eV/cell
- DFT formation energy: 0.0313 eV/atom
- Spin magnetization: 0.0912 μB/atom

=====

3.
A relaxed structure of Li4CuRh3. Source: Alexandria, functional PBE-GGA.

a = 2.7184 Å, b = 4.4885 Å, c = 9.0041 Å
α = 80.44°, β = 81.61°, γ = 89.88°
Last column: nearest neighbours and their distance in Å.
Element x y z (fractional)
Li 0.1143 0.2180 0.2691  2 Cu 2.52-2.53, 5 Rh 2.59-2.64, 4 Li 2.60-2.72
Li 0.2553 0.7575 0.9835  8 Li 2.60-2.72, 3 Rh 2.67-2.82
Li 0.7447 0.2425 0.0165  8 Li 2.60-2.72, 3 Rh 2.67-2.82
Li 0.8857 0.7820 0.7309  2 Cu 2.52-2.53, 5 Rh 2.59-2.64, 4 Li 2.60-2.72
Cu 0.5000 0.0000 0.5000  4 Li 2.52-2.53, 6 Rh 2.62-2.76, 2 Cu 2.72
Rh 0.0000 0.5000 0.5000  2 Li 2.59, 4 Cu 2.62-2.63, 6 Rh 2.69-2.72
Rh 0.3758 0.2744 0.7549  7 Li 2.63-2.82, 4 Rh 2.69-2.72, 1 Cu 2.76
Rh 0.6242 0.7256 0.2451  7 Li 2.63-2.82, 4 Rh 2.69-2.72, 1 Cu 2.76

## Properties
- Total energy: -4.30 eV/atom
- DOS(E_F): 6.90 states/eV/cell
- DFT formation energy: -0.0770 eV/atom
- Spin magnetization: 0.0522 μB/atom

=====

4.
A relaxed structure of LiCu2Rh. Source: Alexandria, functional PBE-GGA.

a = 2.8837 Å, b = 4.2291 Å, c = 8.3317 Å
α = 90.00°, β = 90.00°, γ = 90.00°
Last column: nearest neighbours and their distance in Å.
Element x y z (fractional)
Li 0.0000 0.0000 0.0000  6 Cu 2.50-2.56, 2 Rh 2.59
Li 0.5000 0.5000 0.5000  6 Cu 2.50-2.56, 2 Rh 2.59
Cu 0.0000 0.0000 0.5145  2 Cu 2.47, 4 Li 2.56, 2 Rh 2.58
Cu 0.0000 0.5000 0.2556  2 Cu 2.47, 2 Li 2.50, 4 Rh 2.56
Cu 0.5000 0.0000 0.7556  2 Cu 2.47, 2 Li 2.50, 4 Rh 2.56
Cu 0.5000 0.5000 0.0145  2 Cu 2.47, 4 Li 2.56, 2 Rh 2.58
Rh 0.0000 0.5000 0.7582  6 Cu 2.56-2.58, 2 Li 2.59
Rh 0.5000 0.0000 0.2582  6 Cu 2.56-2.58, 2 Li 2.59

## Properties
- Total energy: -4.40 eV/atom
- DOS(E_F): 5.75 states/eV/cell
- DFT formation energy: -0.0360 eV/atom
- Spin magnetization: 0.0000 μB/atom

=====

5.
A relaxed structure of LiCu2Rh. Source: Alexandria, functional PBE-GGA.

a = 3.0933 Å, b = 3.0933 Å, c = 5.3985 Å
α = 90.00°, β = 90.00°, γ = 90.00°
Last column: nearest neighbours and their distance in Å.
Element x y z (fractional)
Li 0.0000 0.0000 0.0000  8 Cu 2.56, 2 Rh 2.70
Cu 0.5000 0.5000 0.2478  4 Li 2.56, 4 Rh 2.58, 2 Cu 2.67-2.72
Cu 0.5000 0.5000 0.7522  4 Li 2.56, 4 Rh 2.58, 2 Cu 2.67-2.72
Rh 0.0000 0.0000 0.5000  8 Cu 2.58, 2 Li 2.70

## Properties
- Total energy: -4.34 eV/atom
- DOS(E_F): 3.44 states/eV/cell
- DFT formation energy: 0.0203 eV/atom
- Spin magnetization: 0.0000 μB/atom

=====

6.
A relaxed structure of Li3Cu4Rh2. Source: Alexandria, functional PBE-GGA.

a = 7.3129 Å, b = 7.3129 Å, c = 4.4685 Å
α = 92.66°, β = 92.66°, γ = 76.34°
Last column: nearest neighbours and their distance in Å.
Element x y z (fractional)
Li 0.0060 0.9940 0.7500  2 Li 2.24
Li 0.3228 0.4655 0.5329  1 Rh 2.37, 3 Cu 2.37-2.58, 2 Li 2.58
Li 0.4655 0.3228 0.0329  1 Rh 2.37, 3 Cu 2.37-2.58, 2 Li 2.58
Li 0.5345 0.6772 0.9671  1 Rh 2.37, 3 Cu 2.37-2.58, 2 Li 2.58
Li 0.6772 0.5345 0.4671  1 Rh 2.37, 3 Cu 2.37-2.58, 2 Li 2.58
Li 0.9940 0.0060 0.2500  2 Li 2.24
Cu 0.0205 0.6682 0.4602  3 Li 2.37-2.64, 2 Rh 2.52-2.53, 3 Cu 2.54-2.59
Cu 0.2043 0.6785 0.9945  3 Li 2.42-2.67, 2 Rh 2.54-2.68, 5 Cu 2.54-2.69
Cu 0.3215 0.7957 0.5055  3 Li 2.42-2.67, 2 Rh 2.54-2.68, 5 Cu 2.54-2.69
Cu 0.3318 0.9795 0.0398  3 Li 2.37-2.64, 2 Rh 2.52-2.53, 3 Cu 2.54-2.59
Cu 0.6682 0.0205 0.9602  3 Li 2.37-2.64, 2 Rh 2.52-2.53, 3 Cu 2.54-2.59
Cu 0.6785 0.2043 0.4945  3 Li 2.42-2.67, 2 Rh 2.54-2.68, 5 Cu 2.54-2.69
Cu 0.7957 0.3215 0.0055  3 Li 2.42-2.67, 2 Rh 2.54-2.68, 5 Cu 2.54-2.69
Cu 0.9795 0.3318 0.5398  3 Li 2.37-2.64, 2 Rh 2.52-2.53, 3 Cu 2.54-2.59
Rh 0.1396 0.3369 0.0510  1 Li 2.37, 3 Cu 2.52-2.54
Rh 0.3369 0.1396 0.5510  1 Li 2.37, 3 Cu 2.52-2.54
Rh 0.6631 0.8604 0.4490  1 Li 2.37, 3 Cu 2.52-2.54
Rh 0.8604 0.6631 0.9490  1 Li 2.37, 3 Cu 2.52-2.54

## Properties
- Total energy: -4.10 eV/atom
- DOS(E_F): 11.25 states/eV/cell
- DFT formation energy: -0.0037 eV/atom
- Spin magnetization: 0.0000 μB/atom